# NiBMoAu (PBE-GGA, optimized geometry)
data_NiBMoAu
_chemical_formula_sum 'Ni4 B4 Mo4 Au4'
_cell_length_a 5.940
_cell_length_b 5.940
_cell_length_c 5.940
_cell_angle_alpha 90.00
_cell_angle_beta 90.00
_cell_angle_gamma 90.00
_space_group_name_H-M_alt 'F -4 3 m'
_space_group_IT_number 216
_space_group_name_Hall 'F -4 2 3'
loop_
_atom_site_label
_atom_site_type_symbol
_atom_site_fract_x
_atom_site_fract_y
_atom_site_fract_z
Ni1 Ni 0.000 0.000 0.000
B1 B 0.250 0.250 0.750
Mo1 Mo 0.000 0.000 0.500
Au1 Au 0.250 0.250 0.250
# **Size of the total moment**: 0.470 μB/f.u.

***

# BMoOsAu (PBE-GGA, optimized geometry)
data_BMoOsAu
_chemical_formula_sum 'B4 Mo4 Os4 Au4'
_cell_length_a 6.045
_cell_length_b 6.045
_cell_length_c 6.045
_cell_angle_alpha 90.00
_cell_angle_beta 90.00
_cell_angle_gamma 90.00
_space_group_name_H-M_alt 'F -4 3 m'
_space_group_IT_number 216
_space_group_name_Hall 'F -4 2 3'
loop_
_atom_site_label
_atom_site_type_symbol
_atom_site_fract_x
_atom_site_fract_y
_atom_site_fract_z
B1 B 0.000 0.000 0.000
Mo1 Mo 0.250 0.250 0.250
Os1 Os 0.250 0.250 0.750
Au1 Au 0.000 0.000 0.500
# **Size of the total moment**: 0.001 μB/f.u.

***

# BMoOsAu (PBE-GGA, optimized geometry)
data_BMoOsAu
_chemical_formula_sum 'B4 Mo4 Os4 Au4'
_cell_length_a 6.109
_cell_length_b 6.109
_cell_length_c 6.109
_cell_angle_alpha 90.00
_cell_angle_beta 90.00
_cell_angle_gamma 90.00
_space_group_name_H-M_alt 'F -4 3 m'
_space_group_IT_number 216
_space_group_name_Hall 'F -4 2 3'
loop_
_atom_site_label
_atom_site_type_symbol
_atom_site_fract_x
_atom_site_fract_y
_atom_site_fract_z
B1 B 0.000 0.000 0.000
Mo1 Mo 0.250 0.250 0.750
Os1 Os 0.000 0.000 0.500
Au1 Au 0.250 0.250 0.250
# **Size of the total moment**: 0.018 μB/f.u.

***

An optimized crystal structure of NaB4Au, computed with PBE-GGA.

Geometry as CIF:
```
data_NaB4Au
_chemical_formula_sum 'Na1 B4 Au1'
_cell_length_a 3.0603
_cell_length_b 3.0603
_cell_length_c 7.9928
_cell_angle_alpha 90.00
_cell_angle_beta 90.00
_cell_angle_gamma 120.00
_space_group_name_H-M_alt 'P 6/m m m'
_space_group_IT_number 191
_space_group_name_Hall '-P 6 2'
loop_
_atom_site_label
_atom_site_type_symbol
_atom_site_fract_x
_atom_site_fract_y
_atom_site_fract_z
Na1 Na 0.0000 0.0000 0.0000
B1 B 0.3333 0.6667 0.2596
Au1 Au 0.0000 0.0000 0.5000
```

***

| no. | energy above the lowest structure with this stoichiometry (meV/atom) |
| --- | --- |
| 1 | 170 |
| 2 | 0 |
| 3 | 161 |
| 4 | 24 |